No. 1
# SrAl2Os

Crystalline SrAl2Os at its relaxed geometry (PBE, Alexandria via LeMat-Bulk).

DFT total energy in eV per cell: -63.8
ΔE_f in eV/f.u.: -0.86
Density of states at the Fermi level in states/eV/atom: 0.486
Total moment in μB/f.u.: 0.0

a = 4.3582 Å, b = 4.3582 Å, c = 17.1692 Å
α = 90.00°, β = 90.00°, γ = 120.00°
Last column: nearest neighbours and their distance in Å.
Space group R3m (No. 160, hexagonal axes)
Asymmetric unit:
Sr 0.0000 0.0000 0.0000 x3  1 Os 3.18, 7 Al 3.23-3.54
Al 0.0000 0.0000 0.1882 x3  3 Os 2.61, 3 Al 2.66
Al 0.0000 0.0000 0.4709 x3  3 Os 2.52, 3 Al 2.66
Os 0.0000 0.0000 0.8151 x3  6 Al 2.52-2.61



No. 2
# Sr2Al2Os

Crystalline Sr2Al2Os at its relaxed geometry (PBE, Alexandria via LeMat-Bulk).

DFT total energy in eV per cell: -42.6
ΔE_f in eV/f.u.: 0.76
Density of states at the Fermi level in states/eV/atom: 0.525
Total moment in μB/f.u.: 0.0

a = 6.8086 Å, b = 6.8086 Å, c = 5.3328 Å
α = 90.00°, β = 90.00°, γ = 90.00°
Last column: nearest neighbours and their distance in Å.
Space group P4/mbm (No. 127)
Asymmetric unit:
Sr 0.1793 0.3207 0.0000 x4  2 Al 3.12, 1 Sr 3.45
Al 0.1535 0.6535 0.5000 x4  2 Os 2.58
Os 0.0000 0.0000 0.5000 x2  4 Al 2.58



No. 3
# Sr4AlOs

Crystalline Sr4AlOs at its relaxed geometry (PBE, Alexandria via LeMat-Bulk).

DFT total energy in eV per cell: -57.5
ΔE_f in eV/f.u.: 7.32
Density of states at the Fermi level in states/eV/atom: 1.323
Total moment in μB/f.u.: 0.0

a = 9.0961 Å, b = 9.0961 Å, c = 9.0961 Å
α = 90.00°, β = 90.00°, γ = 90.00°
Last column: nearest neighbours and their distance in Å.
Space group F-43m (No. 216)
Asymmetric unit:
Sr 0.1239 0.1239 0.3761 x16  6 Sr 3.19-3.24
Al 0.0000 0.0000 0.0000 x4  12 Sr 3.77, 4 Os 3.94
Os 0.2500 0.2500 0.7500 x4  12 Sr 3.77, 4 Al 3.94